No. 1
# PBE-GGA LaBr, optimized geometry
data_LaBr
_chemical_formula_sum 'La1 Br1'
_symmetry_space_group_name_H-M 'P 1'
_symmetry_Int_Tables_number 1
_cell_length_a 5.135
_cell_length_b 5.135
_cell_length_c 5.135
_cell_angle_alpha 43.26
_cell_angle_beta 43.26
_cell_angle_gamma 43.26
loop_
_symmetry_equiv_pos_as_xyz
'x,y,z'
loop_
_atom_site_label
_atom_site_type_symbol
_atom_site_fract_x
_atom_site_fract_y
_atom_site_fract_z
La1 La 0.000 0.000 0.000
Br1 Br 0.500 0.500 0.500
# magnetic moment	0.000	μB per atom
# symmetry	R-3m (166)
# raw formation energy	-247	kJ/mol of formula units



No. 2
# PBE-GGA LaBr3, optimized geometry
data_LaBr3
_chemical_formula_sum 'La1 Br3'
_symmetry_space_group_name_H-M 'P 1'
_symmetry_Int_Tables_number 1
_cell_length_a 4.749
_cell_length_b 4.749
_cell_length_c 6.814
_cell_angle_alpha 90.00
_cell_angle_beta 90.00
_cell_angle_gamma 90.00
loop_
_symmetry_equiv_pos_as_xyz
'x,y,z'
loop_
_atom_site_label
_atom_site_type_symbol
_atom_site_fract_x
_atom_site_fract_y
_atom_site_fract_z
La1 La 0.000 0.000 0.000
Br1 Br 0.000 0.500 0.755
Br2 Br 0.500 0.000 0.755
Br3 Br 0.500 0.500 0.199
# magnetic moment	0.000	μB per atom
# symmetry	P4mm (99)
# raw formation energy	-646	kJ/mol of formula units



No. 3
# PBE-GGA La2Br, optimized geometry
data_La2Br
_chemical_formula_sum 'La8 Br4'
_symmetry_space_group_name_H-M 'P 1'
_symmetry_Int_Tables_number 1
_cell_length_a 6.518
_cell_length_b 6.518
_cell_length_c 12.448
_cell_angle_alpha 90.00
_cell_angle_beta 90.00
_cell_angle_gamma 120.00
loop_
_symmetry_equiv_pos_as_xyz
'x,y,z'
loop_
_atom_site_label
_atom_site_type_symbol
_atom_site_fract_x
_atom_site_fract_y
_atom_site_fract_z
La1 La 0.000 0.000 0.000
La2 La 0.000 0.000 0.500
La3 La 0.167 0.334 0.250
La4 La 0.167 0.833 0.250
La5 La 0.334 0.167 0.750
La6 La 0.666 0.833 0.250
La7 La 0.833 0.167 0.750
La8 La 0.833 0.666 0.750
Br1 Br 0.333 0.667 0.043
Br2 Br 0.333 0.667 0.457
Br3 Br 0.667 0.333 0.543
Br4 Br 0.667 0.333 0.957
# ΔE to the lowest computed polymorph	60.3	kJ per mole of atoms
# magnetic moment	0.000	μB per atom
# symmetry	P6_3/mmc (194)
# raw formation energy	-60	kJ/mol of formula units



No. 4
# PBE-GGA La2Br, optimized geometry
data_La2Br
_chemical_formula_sum 'La2 Br1'
_symmetry_space_group_name_H-M 'P 1'
_symmetry_Int_Tables_number 1
_cell_length_a 5.107
_cell_length_b 5.107
_cell_length_c 3.698
_cell_angle_alpha 90.00
_cell_angle_beta 90.00
_cell_angle_gamma 90.00
loop_
_symmetry_equiv_pos_as_xyz
'x,y,z'
loop_
_atom_site_label
_atom_site_type_symbol
_atom_site_fract_x
_atom_site_fract_y
_atom_site_fract_z
La1 La 0.000 0.500 0.000
La2 La 0.500 0.000 0.000
Br1 Br 0.000 0.000 0.500
# ΔE to the lowest computed polymorph	31.6	kJ per mole of atoms
# magnetic moment	0.000	μB per atom
# symmetry	P4/mmm (123)
# raw formation energy	-146	kJ/mol of formula units